Record 1
DFT (SCAN) results for a crystal of Cu2S3O12 relaxed with PBEsol. Values from VASP.

* M_tot: 0.010 μB/f.u.
* calculated density: 3.24 g cm⁻³
* uncorrected energy: -153.6 eV/f.u.
* ΔE_f (raw): -1.1499 eV/atom
* space group: C2/c (15)

```
&SYSTEM
  ibrav = 0, nat = 34, ntyp = 3
/
ATOMIC_SPECIES
Cu 63.55 Cu.upf
S 32.06 S.upf
O 16.00 O.upf
CELL_PARAMETERS angstrom
6.7379 -4.0625 0.0000
6.7379 4.0625 0.0000
-5.3244 0.0000 7.7861
ATOMIC_POSITIONS angstrom
Cu 0.0718 2.0543 7.4503
Cu 5.4174 2.0543 4.2289
Cu 2.7340 -2.0543 3.5572
Cu 8.0796 -2.0543 0.3359
S -1.5826 0.8412 5.1141
S 1.0797 -0.8412 1.2211
S 2.7446 0.1196 5.8396
S 5.4068 -0.1196 1.9465
S 7.0717 0.8412 6.5651
S 9.7339 -0.8412 2.6720
O 2.1128 2.7793 3.6967
O -1.4419 1.5062 6.4550
O 1.1839 0.6261 1.5896
O 4.4729 3.0246 2.9644
O 6.3407 3.0246 0.9287
O -1.4783 -0.6261 5.4826
O 4.8079 0.7373 0.8512
O 8.7008 2.7793 0.1964
O 1.6062 0.8734 6.3314
O 1.2203 -1.5062 2.5619
O 3.8829 0.8734 5.3478
O 2.1457 -0.7373 4.7443
O 6.0056 0.7373 3.0419
O 4.2684 -0.8734 2.4383
O 6.9311 1.5062 5.2242
O 6.5451 -0.8734 1.4547
O -0.5495 -2.7793 7.5897
O 3.3434 -0.7373 6.9349
O 9.6297 0.6261 2.3035
O 1.8106 -3.0246 6.8575
O 3.6785 -3.0246 4.8217
O 6.9674 -0.6261 6.1966
O 9.5933 -1.5062 1.3311
O 6.0386 -2.7793 4.0895
```


Record 2
DFT (SCAN) results for a crystal of Cu2SO5 relaxed with PBEsol. Values from VASP.

* M_tot: 0.000 μB/f.u.
* calculated density: 4.21 g cm⁻³
* uncorrected energy: -80.6 eV/f.u.
* ΔE_f (raw): -1.1794 eV/atom
* space group: C2/m (12)

```
&SYSTEM
  ibrav = 0, nat = 16, ntyp = 3
/
ATOMIC_SPECIES
Cu 63.55 Cu.upf
S 32.06 S.upf
O 16.00 O.upf
CELL_PARAMETERS angstrom
4.6510 -3.1455 0.0000
4.6510 3.1455 0.0000
-4.1380 0.0000 6.4491
ATOMIC_POSITIONS angstrom
Cu 2.3255 1.5728 0.0000
Cu -0.1716 0.0000 1.4149
Cu 2.3255 -1.5728 0.0000
Cu 5.3356 0.0000 5.0342
S 0.9481 0.0000 4.4391
S 4.2160 0.0000 2.0100
O 1.3159 0.0000 0.1243
O 3.4213 1.2252 1.6031
O 0.9147 0.0000 2.9682
O -0.3711 0.0000 5.0598
O 1.7428 1.2252 4.8461
O 3.4213 -1.2252 1.6031
O 5.5352 0.0000 1.3893
O 4.2493 0.0000 3.4809
O 1.7428 -1.2252 4.8461
O 3.8481 0.0000 6.3248
```


Record 3
DFT (SCAN) results for a crystal of Cu2S3O12 relaxed with PBEsol. Values from VASP.

* M_tot: 4.047 μB/f.u.
* calculated density: 3.32 g cm⁻³
* uncorrected energy: -154.8 eV/f.u.
* ΔE_f (raw): -1.2194 eV/atom
* space group: R-3 (148)

```
&SYSTEM
  ibrav = 0, nat = 34, ntyp = 3
/
ATOMIC_SPECIES
Cu 63.55 Cu.upf
S 32.06 S.upf
O 16.00 O.upf
CELL_PARAMETERS angstrom
4.0270 2.3250 7.3958
-4.0270 2.3250 7.3958
0.0000 -4.6499 7.3958
ATOMIC_POSITIONS angstrom
Cu 0.0000 0.0000 3.2244
Cu 0.0000 0.0000 7.6503
Cu 0.0000 0.0000 14.5370
Cu 0.0000 0.0000 18.9628
S -2.8493 -0.2892 9.2358
S -1.1742 -2.6122 12.9515
S 1.6751 -2.3230 9.2357
S -1.6751 2.3230 12.9515
S 1.1742 2.6122 9.2358
S 2.8493 0.2892 12.9515
O -3.1102 -0.8994 10.5570
O -2.5051 -1.9694 12.8294
O -2.9581 1.1848 9.3579
O -0.1637 -1.6292 6.5705
O -1.4748 -0.6544 8.8490
O -1.3291 0.9563 6.5705
O -0.7762 -3.1432 11.6303
O 0.4530 -3.1542 9.3579
O -2.3340 2.2438 11.6303
O -0.1707 -1.6044 13.3383
O -1.4927 -0.6728 15.6168
O 1.3041 -0.9500 8.8490
O -1.3041 0.9500 13.3383
O 1.4927 0.6728 6.5705
O 0.1707 1.6044 8.8490
O 2.3340 -2.2438 10.5570
O -0.4530 3.1542 12.8294
O 0.7762 3.1432 10.5570
O 1.3291 -0.9563 15.6168
O 1.4748 0.6544 13.3383
O 0.1637 1.6292 15.6168
O 2.9581 -1.1848 12.8294
O 2.5051 1.9694 9.3579
O 3.1102 0.8994 11.6303
```


Record 4
DFT (SCAN) results for a crystal of CuSO4 relaxed with PBEsol. Values from VASP.

* M_tot: 1.000 μB/f.u.
* calculated density: 3.96 g cm⁻³
* uncorrected energy: -57.7 eV/f.u.
* ΔE_f (raw): -1.3258 eV/atom
* space group: Pnma (62)

```
&SYSTEM
  ibrav = 0, nat = 24, ntyp = 3
/
ATOMIC_SPECIES
Cu 63.55 Cu.upf
S 32.06 S.upf
O 16.00 O.upf
CELL_PARAMETERS angstrom
8.3849 0.0000 0.0000
0.0000 6.5914 0.0000
0.0000 0.0000 4.8497
ATOMIC_POSITIONS angstrom
Cu 0.0000 0.0000 0.0000
Cu 0.0000 3.2957 0.0000
Cu 4.1925 0.0000 2.4249
Cu 4.1925 3.2957 2.4249
S 1.5269 1.6479 2.2007
S 2.6656 4.9436 4.6256
S 5.7194 1.6479 0.2241
S 6.8580 4.9436 2.6490
O 1.0834 0.4102 1.5306
O 1.0834 2.8855 1.5306
O 1.1156 1.6479 3.6041
O 1.1313 4.9436 4.5088
O 3.0611 1.6479 2.0839
O 3.0769 4.9436 1.1792
O 3.1091 3.7059 3.9555
O 3.1091 6.1812 3.9555
O 5.2759 0.4102 0.8942
O 5.2759 2.8855 0.8942
O 5.3081 1.6479 3.6705
O 5.3238 4.9436 2.7658
O 7.2536 1.6479 0.3410
O 7.2693 4.9436 1.2456
O 7.3015 3.7059 3.3191
O 7.3015 6.1812 3.3191
```


Record 5
DFT (SCAN) results for a crystal of Cu2S3O12 relaxed with PBEsol. Values from VASP.

* M_tot: 4.064 μB/f.u.
* calculated density: 3.50 g cm⁻³
* uncorrected energy: -154.6 eV/f.u.
* ΔE_f (raw): -1.2113 eV/atom
* space group: P2_1/c (14)

```
&SYSTEM
  ibrav = 0, nat = 68, ntyp = 3
/
ATOMIC_SPECIES
Cu 63.55 Cu.upf
S 32.06 S.upf
O 16.00 O.upf
CELL_PARAMETERS angstrom
8.1074 0.0000 0.0000
0.0000 8.4986 0.0000
-7.8662 0.0000 11.4264
ATOMIC_POSITIONS angstrom
Cu -1.9565 0.2622 4.4164
Cu -5.8896 3.9871 10.1296
Cu 2.0669 0.3224 1.2869
Cu -1.8662 3.9269 7.0001
Cu 2.1074 4.5717 4.4263
Cu -1.8257 8.1762 10.1395
Cu 6.1308 4.5116 1.2968
Cu 2.1977 8.2364 7.0100
S -4.8030 5.2643 7.3812
S -0.8699 7.4837 1.6680
S -3.0389 1.0349 7.4605
S 0.8943 3.2144 1.7473
S -4.1464 6.3575 11.3681
S -0.2133 6.3905 5.6549
S 0.4545 2.1082 5.7715
S 4.3876 2.1411 0.0583
S -0.6531 5.2842 9.6791
S 3.2801 7.4637 3.9659
S 1.1111 1.0150 9.7584
S 5.0442 3.2343 4.0452
O -1.2465 6.1480 2.1937
O -5.1796 6.5999 7.9068
O -4.8176 4.3117 8.5159
O -0.8845 8.4363 2.8027
O -4.3796 0.6040 7.9276
O -0.4465 3.6454 2.2144
O -2.9216 0.8374 6.0025
O 1.0115 3.4120 0.2893
O -3.4264 5.2713 6.8411
O 0.5067 7.4767 1.1279
O -5.9941 0.5902 10.7692
O -2.0610 3.6591 5.0560
O -5.4199 5.7808 10.8600
O -1.4868 6.9671 5.1468
O 0.9493 1.7494 2.0205
O -2.9838 2.4999 7.7337
O -0.2632 1.0615 5.0219
O -4.1963 3.1878 10.7351
O -2.0019 0.2552 8.1694
O 1.9312 3.9941 2.4562
O 0.5547 5.8815 4.4860
O -3.3784 6.8665 10.1992
O -0.5451 5.3303 6.6278
O 3.3880 7.4177 0.9146
O -3.1468 1.0809 10.5118
O 0.7863 3.1684 4.7986
O 3.6196 1.6321 1.2272
O -0.3135 2.6172 6.9404
O -1.6900 4.5045 8.9702
O 2.2431 8.2435 3.2570
O 4.4375 5.3109 0.6913
O 0.5044 7.4371 6.4045
O 3.2250 5.9987 3.6927
O -0.7081 6.7492 9.4059
O 1.7280 1.5315 6.2796
O 5.6611 2.7178 0.5664
O 2.3022 4.8395 6.3704
O 6.2353 7.9084 0.6572
O -0.2655 1.0219 10.2985
O 3.6676 3.2274 4.5853
O -0.7703 5.0867 11.1371
O 3.1628 7.6613 5.4239
O 0.6877 4.8533 9.2120
O 4.6208 7.8947 3.4988
O 1.1257 0.0623 8.6237
O 5.0588 4.1870 2.9105
O 5.4208 1.8987 3.5195
O 1.4877 2.3506 9.2327
```


Record 6
DFT (SCAN) results for a crystal of CuSb2O4 relaxed with PBEsol. Values from VASP.

* M_tot: 1.013 μB/f.u.
* calculated density: 5.65 g cm⁻³
* uncorrected energy: -123.2 eV/f.u.
* ΔE_f (raw): -1.2158 eV/atom
* space group: P4_2bc (106)

```
&SYSTEM
  ibrav = 0, nat = 28, ntyp = 3
/
ATOMIC_SPECIES
Cu 63.55 Cu.upf
Sb 121.76 Sb.upf
O 16.00 O.upf
CELL_PARAMETERS angstrom
8.6564 0.0000 0.0000
0.0000 8.6564 0.0000
0.0000 0.0000 5.8173
ATOMIC_POSITIONS angstrom
Cu 0.0000 4.3282 0.0000
Cu 0.0000 4.3282 2.9087
Cu 4.3282 0.0000 0.0000
Cu 4.3282 0.0000 2.9087
Sb 1.3090 1.6004 1.4448
Sb 1.6004 7.3473 4.3534
Sb 2.7277 3.0192 4.3534
Sb 3.0192 5.9286 1.4448
Sb 5.6372 2.7277 1.4448
Sb 5.9286 5.6372 4.3534
Sb 7.0559 1.3090 4.3534
Sb 7.3473 7.0559 1.4448
O 0.7614 3.2367 4.3632
O 1.0914 3.5668 1.4545
O 1.6544 6.0031 0.0005
O 1.6749 5.9826 2.9092
O 2.6532 1.6544 2.9092
O 2.6737 1.6749 0.0005
O 3.2367 7.8950 1.4545
O 3.5668 7.5649 4.3632
O 5.0896 1.0914 4.3632
O 5.4196 0.7614 1.4545
O 5.9826 6.9814 0.0005
O 6.0031 7.0019 2.9092
O 6.9814 2.6737 2.9092
O 7.0019 2.6532 0.0005
O 7.5649 5.0896 1.4545
O 7.8950 5.4196 4.3632
```


Record 7
DFT (SCAN) results for a crystal of ScCuO2 relaxed with PBEsol. Values from VASP.

* M_tot: 0.009 μB/f.u.
* calculated density: 4.65 g cm⁻³
* uncorrected energy: -52.4 eV/f.u.
* ΔE_f (raw): -2.6146 eV/atom
* Fermi-level density of states: 0.00 states/eV/cell
* space group: R-3m (166)

```
&SYSTEM
  ibrav = 0, nat = 4, ntyp = 3
/
ATOMIC_SPECIES
Sc 44.96 Sc.upf
Cu 63.55 Cu.upf
O 16.00 O.upf
CELL_PARAMETERS angstrom
1.6004 0.9240 5.6553
-1.6004 0.9240 5.6553
0.0000 -1.8480 5.6553
ATOMIC_POSITIONS angstrom
Sc 0.0000 0.0000 0.0000
Cu 0.0000 0.0000 8.4829
O 0.0000 0.0000 6.6695
O 0.0000 0.0000 10.2963
```